This record from the Alexandria database describes a relaxed Li2Cu2Ir crystal. The functional is PBE.

Values from the calculation:
energy above the most stable polymorph in this dataset: 0.0 kJ per mole of atoms
total moment: 0.000 μB per atom
calculated formation energy: 0.47 eV/f.u.

abc: 6.534 6.534 2.809
angles: 90.00 90.00 90.00
Positions (direct):
Cu1 0.685 0.815 0.500
Cu2 0.315 0.185 0.500
Cu3 0.815 0.315 0.500
Cu4 0.185 0.685 0.500
Li1 0.622 0.122 0.000
Li2 0.378 0.878 0.000
Li3 0.878 0.622 0.000
Li4 0.122 0.378 0.000
Ir1 0.000 0.000 0.000
Ir2 0.500 0.500 0.000